[1]
A geometry-optimized Be2GaAgN structure, computed with PBE.

Lattice parameters (Å, degrees): 4.231 4.231 5.071 90.00 90.00 90.00
Space group P4/mmm (No. 123)
One atom of each set of equivalent atoms:
Be: 0.000 0.500 0.000 [2 per cell]
Ga: 0.000 0.000 0.000 [1 per cell]
Ag: 0.000 0.000 0.500 [1 per cell]
N: 0.500 0.500 0.500 [1 per cell]

- total magnetic moment (μB per cell) = 2.5
- uncorrected formation energy (eV per atom) = 1.627
- final energy (eV per atom) = -2.705

=====

[2]
A geometry-optimized BeGaAg2P structure, computed with PBE.

Lattice parameters (Å, degrees): 4.796 4.796 4.825 90.00 90.00 90.00
Space group P4/mmm (No. 123)
One atom of each set of equivalent atoms:
Be: 0.000 0.000 0.000 [1 per cell]
Ga: 0.500 0.500 0.000 [1 per cell]
Ag: 0.000 0.500 0.500 [2 per cell]
P: 0.500 0.500 0.500 [1 per cell]

- total magnetic moment (μB per cell) = 0.0
- final energy (eV per atom) = -2.812
- formation energy from the elements (eV per atom) = 0.7616

=====

[3]
A geometry-optimized PmBeGaAg structure, computed with PBE.

Lattice parameters (Å, degrees): 6.681 6.681 6.681 90.00 90.00 90.00
Space group F-43m (No. 216)
One atom of each set of equivalent atoms:
Pm: 0.000 0.000 0.000 [4 per cell]
Be: 0.250 0.250 0.750 [4 per cell]
Ga: 0.250 0.250 0.250 [4 per cell]
Ag: 0.000 0.000 0.500 [4 per cell]

- total magnetic moment (μB per cell) = 0.0
- final energy (eV per atom) = -3.684
- formation energy from the elements (eV per atom) = -0.0955

=====

[4]
A geometry-optimized RbBeGa2Ag structure, computed with PBE.

Lattice parameters (Å, degrees): 5.174 5.174 4.761 90.00 90.00 90.00
Space group P4/mmm (No. 123)
One atom of each set of equivalent atoms:
Rb: 0.000 0.000 0.000 [1 per cell]
Be: 0.500 0.500 0.000 [1 per cell]
Ga: 0.000 0.500 0.500 [2 per cell]
Ag: 0.500 0.500 0.500 [1 per cell]

- total magnetic moment (μB per cell) = 0.0
- final energy (eV per atom) = -2.270
- formation energy from the elements (eV per atom) = 0.4493

=====

[5]
A geometry-optimized BeGaAgSn2 structure, computed with PBE.

Lattice parameters (Å, degrees): 4.935 4.935 4.614 90.00 90.00 90.00
Space group P4/mmm (No. 123)
One atom of each set of equivalent atoms:
Be: 0.000 0.000 0.000 [1 per cell]
Ga: 0.500 0.500 0.500 [1 per cell]
Ag: 0.000 0.000 0.500 [1 per cell]
Sn: 0.000 0.500 0.000 [2 per cell]

- total magnetic moment (μB per cell) = 0.0
- offset from the most stable computed form (meV/atom) = 0.0
- final energy (eV per atom) = -3.159
- formation energy from the elements (eV per atom) = 0.3635

=====

[6]
A geometry-optimized BeGaAgSn2 structure, computed with PBE.

Lattice parameters (Å, degrees): 5.324 5.324 4.855 90.00 90.00 90.00
Space group P4/mmm (No. 123)
One atom of each set of equivalent atoms:
Be: 0.000 0.000 0.000 [1 per cell]
Ga: 0.500 0.500 0.500 [1 per cell]
Ag: 0.500 0.500 0.000 [1 per cell]
Sn: 0.000 0.500 0.500 [2 per cell]

- total magnetic moment (μB per cell) = 0.0
- offset from the most stable computed form (meV/atom) = 510.7
- final energy (eV per atom) = -2.648
- formation energy from the elements (eV per atom) = 0.8742

=====

[7]
A geometry-optimized SrBeGaAg2 structure, computed with PBE.

Lattice parameters (Å, degrees): 4.794 4.794 4.513 90.00 90.00 90.00
Space group P4/mmm (No. 123)
One atom of each set of equivalent atoms:
Sr: 0.000 0.000 0.000 [1 per cell]
Be: 0.500 0.500 0.500 [1 per cell]
Ga: 0.500 0.500 0.000 [1 per cell]
Ag: 0.000 0.500 0.500 [2 per cell]

- total magnetic moment (μB per cell) = 0.0
- final energy (eV per atom) = -2.902
- formation energy from the elements (eV per atom) = -0.0746

=====

[8]
A geometry-optimized SrBe2GaAg structure, computed with PBE.

Lattice parameters (Å, degrees): 5.614 5.614 5.784 90.00 90.00 90.00
Space group P4/mmm (No. 123)
One atom of each set of equivalent atoms:
Sr: 0.000 0.000 0.000 [1 per cell]
Be: 0.000 0.500 0.000 [2 per cell]
Ga: 0.500 0.500 0.500 [1 per cell]
Ag: 0.000 0.000 0.500 [1 per cell]

- total magnetic moment (μB per cell) = 0.0
- final energy (eV per atom) = -1.336
- formation energy from the elements (eV per atom) = 1.6663

=====

[9]
A geometry-optimized BeVGaAg2 structure, computed with PBE.

Lattice parameters (Å, degrees): 4.303 4.303 4.384 90.00 90.00 90.00
Space group P4/mmm (No. 123)
One atom of each set of equivalent atoms:
Be: 0.000 0.000 0.000 [1 per cell]
V: 0.000 0.000 0.500 [1 per cell]
Ga: 0.500 0.500 0.500 [1 per cell]
Ag: 0.000 0.500 0.000 [2 per cell]

- total magnetic moment (μB per cell) = 0.0
- final energy (eV per atom) = -3.790
- formation energy from the elements (eV per atom) = 0.5247

=====

[10]
A geometry-optimized Gd2BeAg structure, computed with PBE.

Lattice parameters (Å, degrees): 7.168 7.168 7.168 90.00 90.00 90.00
Space group Fm-3m (No. 225)
One atom of each set of equivalent atoms:
Gd: 0.250 0.250 0.250 [8 per cell]
Be: 0.000 0.000 0.000 [4 per cell]
Ag: 0.000 0.000 0.500 [4 per cell]

- total magnetic moment (μB per cell) = 57.9
- offset from the most stable computed form (meV/atom) = 56.5
- final energy (eV per atom) = -8.719
- formation energy from the elements (eV per atom) = -0.0342

=====

[11]
A geometry-optimized GdBeAg3 structure, computed with PBE.

Lattice parameters (Å, degrees): 4.606 4.606 4.606 90.00 90.00 90.00
Space group Pm-3m (No. 221)
One atom of each set of equivalent atoms:
Gd: 0.000 0.000 0.000 [1 per cell]
Be: 0.500 0.500 0.500 [1 per cell]
Ag: 0.000 0.500 0.500 [3 per cell]

- total magnetic moment (μB per cell) = 7.3
- final energy (eV per atom) = -5.281
- formation energy from the elements (eV per atom) = -0.0091

=====

[12]
A geometry-optimized Gd2BeAg structure, computed with PBE.

Lattice parameters (Å, degrees): 3.538 3.538 7.211 90.00 90.00 90.00
Space group P4/mmm (No. 123)
One atom of each set of equivalent atoms:
Gd: 0.000 0.000 0.228 [2 per cell]
Be: 0.500 0.500 0.000 [1 per cell]
Ag: 0.500 0.500 0.500 [1 per cell]

- total magnetic moment (μB per cell) = 14.6
- offset from the most stable computed form (meV/atom) = 0.0
- final energy (eV per atom) = -8.776
- formation energy from the elements (eV per atom) = -0.0908

=====

[13]
A geometry-optimized GdHoBeAg structure, computed with PBE.

Lattice parameters (Å, degrees): 7.115 7.115 7.115 90.00 90.00 90.00
Space group F-43m (No. 216)
One atom of each set of equivalent atoms:
Gd: 0.000 0.000 0.000 [4 per cell]
Ho: 0.000 0.000 0.500 [4 per cell]
Be: 0.250 0.250 0.750 [4 per cell]
Ag: 0.250 0.250 0.250 [4 per cell]

- total magnetic moment (μB per cell) = 28.3
- final energy (eV per atom) = -6.360
- formation energy from the elements (eV per atom) = -0.0514

=====

[14]
A geometry-optimized PmGdBeAg structure, computed with PBE.

Lattice parameters (Å, degrees): 7.227 7.227 7.227 90.00 90.00 90.00
Space group F-43m (No. 216)
One atom of each set of equivalent atoms:
Pm: 0.000 0.000 0.000 [4 per cell]
Gd: 0.000 0.000 0.500 [4 per cell]
Be: 0.250 0.250 0.250 [4 per cell]
Ag: 0.250 0.250 0.750 [4 per cell]

- total magnetic moment (μB per cell) = 29.1
- final energy (eV per atom) = -6.370
- formation energy from the elements (eV per atom) = -0.0180

=====

[15]
A geometry-optimized PrGdBeAg structure, computed with PBE.

Lattice parameters (Å, degrees): 7.283 7.283 7.283 90.00 90.00 90.00
Space group F-43m (No. 216)
One atom of each set of equivalent atoms:
Pr: 0.000 0.000 0.000 [4 per cell]
Gd: 0.000 0.000 0.500 [4 per cell]
Be: 0.250 0.250 0.750 [4 per cell]
Ag: 0.250 0.250 0.250 [4 per cell]

- total magnetic moment (μB per cell) = 29.6
- final energy (eV per atom) = -6.360
- formation energy from the elements (eV per atom) = -0.0004

=====

[16]
A geometry-optimized GdScBeAg structure, computed with PBE.

Lattice parameters (Å, degrees): 6.934 6.934 6.934 90.00 90.00 90.00
Space group F-43m (No. 216)
One atom of each set of equivalent atoms:
Gd: 0.000 0.000 0.000 [4 per cell]
Sc: 0.000 0.000 0.500 [4 per cell]
Be: 0.250 0.250 0.750 [4 per cell]
Ag: 0.250 0.250 0.250 [4 per cell]

- total magnetic moment (μB per cell) = 28.7
- final energy (eV per atom) = -6.778
- formation energy from the elements (eV per atom) = -0.0301

=====

[17]
A geometry-optimized Be2AgGe2 structure, computed with PBE.

Lattice parameters (Å, degrees): 3.838 3.838 10.354 90.00 90.00 90.00
Space group I4/mmm (No. 139)
One atom of each set of equivalent atoms:
Be: 0.000 0.500 0.250 [4 per cell]
Ag: 0.000 0.000 0.000 [2 per cell]
Ge: 0.000 0.000 0.380 [4 per cell]

- total magnetic moment (μB per cell) = 0.0
- offset from the most stable computed form (meV/atom) = 0.0
- final energy (eV per atom) = -3.580
- formation energy from the elements (eV per atom) = 0.3281

=====

[18]
A geometry-optimized BeAgGe2 structure, computed with PBE.

Lattice parameters (Å, degrees): 6.476 6.476 6.476 90.00 90.00 90.00
Space group Fm-3m (No. 225)
One atom of each set of equivalent atoms:
Be: 0.000 0.000 0.000 [4 per cell]
Ag: 0.000 0.000 0.500 [4 per cell]
Ge: 0.250 0.250 0.250 [8 per cell]

- total magnetic moment (μB per cell) = 0.0
- offset from the most stable computed form (meV/atom) = 149.2
- final energy (eV per atom) = -3.462
- formation energy from the elements (eV per atom) = 0.4913

=====

[19]
A geometry-optimized Be3AgGe structure, computed with PBE.

Lattice parameters (Å, degrees): 4.269 4.269 4.269 90.00 90.00 90.00
Space group Pm-3m (No. 221)
One atom of each set of equivalent atoms:
Be: 0.000 0.000 0.500 [3 per cell]
Ag: 0.500 0.500 0.500 [1 per cell]
Ge: 0.000 0.000 0.000 [1 per cell]

- total magnetic moment (μB per cell) = 0.0
- offset from the most stable computed form (meV/atom) = 0.0
- final energy (eV per atom) = -2.848
- formation energy from the elements (eV per atom) = 0.8817

=====

[20]
A geometry-optimized Be2AgGe2 structure, computed with PBE.

Lattice parameters (Å, degrees): 6.384 6.384 3.576 90.00 90.00 90.00
Space group P4/mbm (No. 127)
One atom of each set of equivalent atoms:
Be: 0.121 0.379 0.000 [4 per cell]
Ag: 0.000 0.000 0.000 [2 per cell]
Ge: 0.165 0.665 0.500 [4 per cell]

- total magnetic moment (μB per cell) = 0.0
- offset from the most stable computed form (meV/atom) = 25.4
- final energy (eV per atom) = -3.554
- formation energy from the elements (eV per atom) = 0.3535